# LaCu meta-GGA SCAN single point on PBEsol structure
data_LaCu
_chemical_formula_sum 'La2 Cu2'
_cell_length_a 6.5253
_cell_length_b 6.5253
_cell_length_c 6.5253
_cell_angle_alpha 38.32
_cell_angle_beta 38.32
_cell_angle_gamma 38.32
_symmetry_space_group_name_H-M 'P 1'
_symmetry_Int_Tables_number 1
_symmetry_space_group_name_Hall 'P 1'
loop_
_atom_site_label
_atom_site_type_symbol
_atom_site_fract_x
_atom_site_fract_y
_atom_site_fract_z
La1 La 0.0943 0.0943 0.0943
La2 La 0.9057 0.9057 0.9057
Cu1 Cu 0.3307 0.3307 0.3307
Cu2 Cu 0.6693 0.6693 0.6693
# DOS(E_F)	1.7	states/eV/f.u.
# space-group type	R-3m
# formation energy from the elements	-0.149	eV per atom
# density	7.0	g cm⁻³
# DFT total energy	-29.302	eV per atom